Entry 1:
Crystalline InI at its relaxed geometry. Source: Alexandria, functional PBE.

Cell: 4.8663 4.8868 6.9221 Å, 90.00 110.51 90.00°
With the nearest neighbours (Å) after each atom.
Fractional positions:
In (0.3929, 0.2500, 0.7919)  5 I 3.27-3.49, 2 In 3.64
In (0.6071, 0.7500, 0.2081)  5 I 3.27-3.49, 2 In 3.64
I (0.1447, 0.2500, 0.2880)  5 In 3.27-3.49
I (0.8553, 0.7500, 0.7120)  5 In 3.27-3.49

Entry 2:
Crystalline InI at its relaxed geometry. Source: Alexandria, functional PBE.

Cell: 4.8775 6.7720 16.3603 Å, 90.00 90.00 90.00°
With the nearest neighbours (Å) after each atom.
Fractional positions:
In (0.0000, 0.0022, 0.6264)  3 I 3.17-3.30
In (0.5000, 0.9978, 0.8736)  3 I 3.17-3.30
In (0.5000, 0.9978, 0.1264)  3 I 3.17-3.30
In (0.0000, 0.0022, 0.3736)  3 I 3.17-3.30
In (0.0000, 0.7670, 0.0000)  4 I 3.18-3.48, 4 In 3.56
In (0.5000, 0.2330, 0.5000)  4 I 3.18-3.48, 4 In 3.56
I (0.0000, 0.7426, 0.7877)  4 In 3.17-3.48
I (0.5000, 0.2574, 0.7123)  4 In 3.17-3.48
I (0.5000, 0.2574, 0.2877)  4 In 3.17-3.48
I (0.0000, 0.7426, 0.2123)  4 In 3.17-3.48
I (0.0000, 0.5338, 0.5000)  2 In 3.18
I (0.5000, 0.4662, 0.0000)  2 In 3.18

Entry 3:
Crystalline InI at its relaxed geometry. Source: Alexandria, functional PBE.

Cell: 9.6000 9.6000 9.6000 Å, 90.00 90.00 90.00°
With the nearest neighbours (Å) after each atom.
Fractional positions:
In (0.2500, 0.0000, 0.5000)  4 I 3.39
In (0.7500, 0.0000, 0.5000)  4 I 3.39
In (0.0000, 0.5000, 0.2500)  4 I 3.39
In (0.0000, 0.5000, 0.7500)  4 I 3.39
In (0.5000, 0.2500, 0.0000)  4 I 3.39
In (0.5000, 0.7500, 0.0000)  4 I 3.39
I (0.2500, 0.5000, 0.0000)  4 In 3.39
I (0.7500, 0.5000, 0.0000)  4 In 3.39
I (0.5000, 0.0000, 0.2500)  4 In 3.39
I (0.5000, 0.0000, 0.7500)  4 In 3.39
I (0.0000, 0.2500, 0.5000)  4 In 3.39
I (0.0000, 0.7500, 0.5000)  4 In 3.39

| no. | M_tot (μB per atom) | formation energy without anion corrections (meV/atom) |
| --- | --- | --- |
| 1 | 0.000 | -459 |
| 2 | 0.000 | -390 |
| 3 | 0.000 | -356 |